Co3Mo, optimized geometry, DFT GGA-PBEsol; DOS(E_F) = 1.251 states/eV per atom; calculated formation energy = 0.096 eV per atom
1.0
2.550 0.000 0.000
0.000 4.359 0.011
-1.275 -0.752 4.098
Co Mo
3 1
Direct
0.757 0.766 0.513 Co
0.243 0.234 0.487 Co
0.500 0.000 0.000 Co
0.000 0.500 0.000 Mo